1.
DFT (PBE) results for an optimized crystal structure of Al2CuRu.

## Properties
N(E_F) = 3.3 states/eV/f.u.
total magnetization = 0.0 μB per cell

Structure (POSCAR):
```
Al2CuRu
1.0
-3.320 3.320 2.703
3.320 -3.320 2.703
3.320 3.320 -2.703
Al Cu Ru
4 2 2
Direct
0.114 0.625 0.989
0.375 0.364 0.489
0.636 0.125 0.011
0.875 0.886 0.511
0.000 0.000 0.000
0.750 0.250 0.500
0.250 0.750 0.500
0.500 0.500 0.000
```

***

2.
DFT (PBE) results for an optimized crystal structure of Al2CuRu.

## Properties
N(E_F) = 1.1 states/eV/f.u.
total magnetization = 0.0 μB per cell

Structure (POSCAR):
```
Al2CuRu
1.0
3.073 0.000 0.000
0.000 3.073 0.000
0.000 0.000 5.709
Al Cu Ru
2 1 1
Direct
0.000 0.000 0.242
0.000 0.000 0.758
0.500 0.500 0.500
0.500 0.500 0.000
```

***

3.
DFT (PBE) results for an optimized crystal structure of AlCuRu.

## Properties
energy above the most stable polymorph in this dataset = 469.7 meV/atom
N(E_F) = 1.6 states/eV/f.u.
total magnetization = 0.0 μB per cell

Structure (POSCAR):
```
AlCuRu
1.0
0.000 2.839 2.839
2.839 0.000 2.839
2.839 2.839 0.000
Al Cu Ru
1 1 1
Direct
0.000 0.000 0.000
0.250 0.250 0.250
0.750 0.750 0.750
```

***

4.
DFT (PBE) results for an optimized crystal structure of AlCuRu.

## Properties
energy above the most stable polymorph in this dataset = 246.6 meV/atom
N(E_F) = 2.2 states/eV/f.u.
total magnetization = 0.0 μB per cell

Structure (POSCAR):
```
AlCuRu
1.0
14.234 0.000 0.000
0.000 2.766 0.000
0.000 0.000 4.243
Al Cu Ru
4 4 4
Direct
0.120 0.250 0.230
0.380 0.750 0.730
0.620 0.250 0.270
0.880 0.750 0.770
0.053 0.750 0.729
0.447 0.250 0.229
0.553 0.750 0.771
0.947 0.250 0.271
0.220 0.250 0.732
0.280 0.750 0.232
0.720 0.250 0.768
0.780 0.750 0.268
```

***

5.
DFT (PBE) results for an optimized crystal structure of AlCuRu.

## Properties
energy above the most stable polymorph in this dataset = 127.6 meV/atom
N(E_F) = 2.3 states/eV/f.u.
total magnetization = 0.0 μB per cell

Structure (POSCAR):
```
AlCuRu
1.0
1.975 -5.152 0.000
1.975 5.152 0.000
0.000 0.000 3.945
Al Cu Ru
2 2 2
Direct
0.000 0.000 0.000
0.500 0.500 0.500
0.169 0.831 0.500
0.831 0.169 0.500
0.347 0.653 0.000
0.653 0.347 0.000
```

***

6.
DFT (PBE) results for an optimized crystal structure of Al2CuRu.

## Properties
N(E_F) = 2.5 states/eV/f.u.
total magnetization = 0.0 μB per cell

Structure (POSCAR):
```
Al2CuRu
1.0
1.509 -2.285 0.000
1.509 2.285 0.000
0.000 0.000 8.388
Al Cu Ru
2 1 1
Direct
0.000 0.000 0.000
0.500 0.500 0.275
0.500 0.500 0.763
0.000 0.000 0.507
```

***

7.
DFT (PBE) results for an optimized crystal structure of AlCuRu.

## Properties
energy above the most stable polymorph in this dataset = 138.5 meV/atom
N(E_F) = 1.8 states/eV/f.u.
total magnetization = 0.0 μB per cell

Structure (POSCAR):
```
AlCuRu
1.0
4.594 0.000 0.000
0.000 4.325 0.000
-2.286 0.000 4.045
Al Cu Ru
2 2 2
Direct
0.009 0.250 0.323
0.991 0.750 0.677
0.338 0.750 0.342
0.662 0.250 0.658
0.326 0.250 0.987
0.674 0.750 0.013
```

***

8.
DFT (PBE) results for an optimized crystal structure of Al2CuRu.

## Properties
N(E_F) = 2.1 states/eV/f.u.
total magnetization = 0.0 μB per cell

Structure (POSCAR):
```
Al2CuRu
1.0
1.414 0.816 8.180
-1.414 0.816 8.180
0.000 -1.633 8.180
Al Cu Ru
2 1 1
Direct
0.248 0.248 0.248
0.752 0.752 0.752
0.000 0.000 0.000
0.500 0.500 0.500
```

***

| no. | total DFT energy (no corrections) (eV for the cell shown) | formation energy from the elements (eV/atom) |
| --- | --- | --- |
| 1 | -41.23 | 0.0601 |
| 2 | -22.96 | -0.5254 |
| 3 | -16.79 | 0.1098 |
| 4 | -69.82 | -0.1133 |
| 5 | -35.62 | -0.2323 |
| 6 | -20.65 | 0.0529 |
| 7 | -35.56 | -0.2214 |
| 8 | -21.77 | -0.2294 |